{"formula": "Sc2GaHg4", "functional": "PBE", "state": "optimized geometry", "cell": [[4.2136, -2.4176, 0.0000], [4.2136, 2.4176, 0.0000], [-2.7583, 0.0000, 7.5094]], "species": ["Sc", "Sc", "Ga", "Hg", "Hg", "Hg", "Hg"], "fractional_positions": [[0.2133, 0.2133, 0.1403], [0.7867, 0.7867, 0.8597], [0.5000, 0.5000, 0.0000], [0.0805, 0.0805, 0.7404], [0.3596, 0.3596, 0.5782], [0.6404, 0.6404, 0.4218], [0.9195, 0.9195, 0.2596]], "formation_enthalpy_0k_mev_per_atom": -225, "m_tot_mub_per_fu": 0.00}



{"formula": "In12Hg3Te5", "functional": "PBE", "state": "optimized geometry", "cell": [[-8.9606, 8.9606, 8.9606], [8.9606, -8.9606, 8.9606], [8.9606, 8.9606, -8.9606]], "species": ["In", "In", "In", "In", "In", "In", "In", "In", "In", "In", "In", "In", "In", "In", "In", "In", "In", "In", "In", "In", "In", "In", "In", "In", "In", "In", "In", "In", "In", "In", "In", "In", "In", "In", "In", "In", "In", "In", "In", "In", "In", "In", "In", "In", "In", "In", "In", "In", "Hg", "Hg", "Hg", "Hg", "Hg", "Hg", "Hg", "Hg", "Hg", "Hg", "Hg", "Hg", "Te", "Te", "Te", "Te", "Te", "Te", "Te", "Te", "Te", "Te", "Te", "Te", "Te", "Te", "Te", "Te", "Te", "Te", "Te", "Te"], "fractional_positions": [[0.0687, 0.2347, 0.1435], [0.0687, 0.3340, 0.9252], [0.0748, 0.6435, 0.4088], [0.0748, 0.9313, 0.6660], [0.0912, 0.7347, 0.6660], [0.0912, 0.8565, 0.4252], [0.1435, 0.0687, 0.2347], [0.1435, 0.5748, 0.9088], [0.1660, 0.2347, 0.5912], [0.1660, 0.4313, 0.5748], [0.2347, 0.1435, 0.0687], [0.2347, 0.5912, 0.1660], [0.2653, 0.3340, 0.9088], [0.2653, 0.4313, 0.3565], [0.3340, 0.9088, 0.2653], [0.3340, 0.9252, 0.0687], [0.3565, 0.2653, 0.4313], [0.3565, 0.5912, 0.9252], [0.4088, 0.0748, 0.6435], [0.4088, 0.8340, 0.7653], [0.4252, 0.0912, 0.8565], [0.4252, 0.8340, 0.5687], [0.4313, 0.3565, 0.2653], [0.4313, 0.5748, 0.1660], [0.5687, 0.4252, 0.8340], [0.5687, 0.6435, 0.7347], [0.5748, 0.1660, 0.4313], [0.5748, 0.9088, 0.1435], [0.5912, 0.1660, 0.2347], [0.5912, 0.9252, 0.3565], [0.6435, 0.4088, 0.0748], [0.6435, 0.7347, 0.5687], [0.6660, 0.0748, 0.9313], [0.6660, 0.0912, 0.7347], [0.7347, 0.5687, 0.6435], [0.7347, 0.6660, 0.0912], [0.7653, 0.4088, 0.8340], [0.7653, 0.8565, 0.9313], [0.8340, 0.5687, 0.4252], [0.8340, 0.7653, 0.4088], [0.8565, 0.4252, 0.0912], [0.8565, 0.9313, 0.7653], [0.9088, 0.1435, 0.5748], [0.9088, 0.2653, 0.3340], [0.9252, 0.0687, 0.3340], [0.9252, 0.3565, 0.5912], [0.9313, 0.6660, 0.0748], [0.9313, 0.7653, 0.8565], [0.1250, 0.2500, 0.3750], [0.1250, 0.3750, 0.7500], [0.2500, 0.3750, 0.1250], [0.2500, 0.8750, 0.6250], [0.3750, 0.1250, 0.2500], [0.3750, 0.7500, 0.1250], [0.6250, 0.2500, 0.8750], [0.6250, 0.8750, 0.7500], [0.7500, 0.1250, 0.3750], [0.7500, 0.6250, 0.8750], [0.8750, 0.6250, 0.2500], [0.8750, 0.7500, 0.6250], [0.0000, 0.0000, 0.0000], [0.0000, 0.0000, 0.5000], [0.0000, 0.5000, 0.0000], [0.0000, 0.5000, 0.5000], [0.1250, 0.7500, 0.8750], [0.1250, 0.8750, 0.2500], [0.2500, 0.1250, 0.8750], [0.2500, 0.6250, 0.3750], [0.3750, 0.2500, 0.6250], [0.3750, 0.6250, 0.7500], [0.5000, 0.0000, 0.0000], [0.5000, 0.0000, 0.5000], [0.5000, 0.5000, 0.0000], [0.5000, 0.5000, 0.5000], [0.6250, 0.3750, 0.2500], [0.6250, 0.7500, 0.3750], [0.7500, 0.3750, 0.6250], [0.7500, 0.8750, 0.1250], [0.8750, 0.1250, 0.7500], [0.8750, 0.2500, 0.1250]], "m_tot_mub_per_fu": 0.00, "formation_energy_uncorrected_ev_per_atom": -0.013}



{"formula": "BeAg2Pb", "functional": "PBE", "state": "optimized geometry", "cell": [[4.3797, -1.7327, 0.0000], [4.3797, 1.7327, 0.0000], [-2.5531, 0.0000, 5.1834]], "species": ["Be", "Ag", "Ag", "Pb"], "fractional_positions": [[0.0000, 0.0000, 0.0000], [0.4783, 0.4783, 0.2734], [0.6914, 0.6914, 0.9753], [0.2904, 0.2904, 0.5965]], "formation_enthalpy_0k_mev_per_atom": 293, "m_tot_mub_per_fu": 0.00}



Asked for N(E_F) across the records above, the calculation gives 0.778; 0.646; 0.367 states/eV/atom in order.